Record 1
Ni8PtRh2 | Alexandria | PBE-GGA | relaxed; crystal system = monoclinic; energy = -5.9210 eV/atom; ΔH_f (0 K) = 0.169 eV per atom
1.0
4.199 0.229 1.191
1.004 6.259 3.233
0.246 2.645 6.602
Ni Rh Pt
8 2 1
Cartesian
3.601 1.971 2.925 Ni
2.130 4.762 7.542 Ni
2.920 2.467 5.258 Ni
1.662 4.506 5.208 Ni
3.788 4.627 5.817 Ni
2.529 6.666 5.767 Ni
1.848 7.162 8.100 Ni
3.320 4.371 3.483 Ni
1.170 2.848 3.319 Rh
4.279 6.285 7.706 Rh
0.000 0.000 0.000 Pt

Record 2
AcGdAlTl | Alexandria | PBE-GGA | relaxed; crystal system = cubic; energy = -6.3518 eV/atom; ΔH_f (0 K) = -0.277 eV per atom
1.0
-1.766 -1.779 -4.930
-2.254 -5.028 -0.481
-5.420 -0.519 -0.973
Al Tl Gd Ac
1 1 1 1
Cartesian
-4.720 -3.663 -3.192 Al
0.000 0.000 0.000 Tl
-2.360 -1.831 -1.596 Gd
-7.080 -5.494 -4.788 Ac